The following is a GGA-PBE calculation of a relaxed SrMg2TlNi crystal, from the Alexandria database.

Properties
N(E_F), states/eV/atom: 0.53
Space group: P4/mmm, No. 123
M_tot, μB per formula unit: 0.000
Calculated formation energy, eV per atom: -0.011
E_tot, eV/atom: -2.61

abc: 5.0125 5.0125 5.5168
angles: 90.00 90.00 90.00
Closest atoms and distances in Å follow each position.
Fractional positions:
Sr1 0.0000 0.0000 0.5000  2 Ni 2.76
Tl1 0.5000 0.5000 0.5000  4 Sr 3.54, 8 Mg 3.73
Mg1 0.0000 0.5000 0.0000  2 Ni 2.51
Mg2 0.5000 0.0000 0.0000  2 Ni 2.51
Ni1 0.0000 0.0000 0.0000  4 Mg 2.51, 2 Sr 2.76